[1]
CeMg2Zn | PBE | optimized geometry

a b c (Å): 11.2898 11.2898 11.2898
angles (deg): 15.41 15.41 15.41
With the nearest neighbours (Å) after each atom.
Sites, in units of the cell vectors:
Ce 0.0000 0.0000 0.0000  6 Ce 3.03, 2 Mg 3.24
Mg 0.0969 0.0969 0.0969  3 Zn 2.92, 6 Mg 3.03, 1 Ce 3.24
Mg 0.9031 0.9031 0.9031  3 Zn 2.92, 6 Mg 3.03, 1 Ce 3.24
Zn 0.5000 0.5000 0.5000  6 Mg 2.92, 6 Zn 3.03

Values from the calculation:
* symmetry: R-3m, No. 166
* volume: 88 Å³/cell
* formation energy: 0.131 eV per atom

=====

[2]
Ce5Mg3Zn12 | PBE | optimized geometry

a b c (Å): 14.2021 14.2021 14.2021
angles (deg): 109.47 109.47 109.47
With the nearest neighbours (Å) after each atom.
Sites, in units of the cell vectors:
Ce 0.0000 0.0000 0.0000  6 Zn 2.88
Ce 0.0000 0.0000 0.5000  6 Zn 2.88
Ce 0.0000 0.5000 0.0000  6 Zn 2.88
Ce 0.0000 0.5000 0.5000  6 Zn 2.88
Ce 0.1250 0.7500 0.8750  4 Zn 3.02
Ce 0.1250 0.8750 0.2500  4 Zn 3.02
Ce 0.2500 0.1250 0.8750  4 Zn 3.02
Ce 0.2500 0.6250 0.3750  4 Zn 3.02
Ce 0.3750 0.2500 0.6250  4 Zn 3.02
Ce 0.3750 0.6250 0.7500  4 Zn 3.02
Ce 0.5000 0.0000 0.0000  6 Zn 2.88
Ce 0.5000 0.0000 0.5000  6 Zn 2.88
Ce 0.5000 0.5000 0.0000  6 Zn 2.88
Ce 0.5000 0.5000 0.5000  6 Zn 2.88
Ce 0.6250 0.3750 0.2500  4 Zn 3.02
Ce 0.6250 0.7500 0.3750  4 Zn 3.02
Ce 0.7500 0.3750 0.6250  4 Zn 3.02
Ce 0.7500 0.8750 0.1250  4 Zn 3.02
Ce 0.8750 0.1250 0.7500  4 Zn 3.02
Ce 0.8750 0.2500 0.1250  4 Zn 3.02
Mg 0.1250 0.2500 0.3750  8 Zn 2.75-2.86
Mg 0.1250 0.3750 0.7500  8 Zn 2.75-2.86
Mg 0.2500 0.3750 0.1250  8 Zn 2.75-2.86
Mg 0.2500 0.8750 0.6250  8 Zn 2.75-2.86
Mg 0.3750 0.1250 0.2500  8 Zn 2.75-2.86
Mg 0.3750 0.7500 0.1250  8 Zn 2.75-2.86
Mg 0.6250 0.2500 0.8750  8 Zn 2.75-2.86
Mg 0.6250 0.8750 0.7500  8 Zn 2.75-2.86
Mg 0.7500 0.1250 0.3750  8 Zn 2.75-2.86
Mg 0.7500 0.6250 0.8750  8 Zn 2.75-2.86
Mg 0.8750 0.6250 0.2500  8 Zn 2.75-2.86
Mg 0.8750 0.7500 0.6250  8 Zn 2.75-2.86
Zn 0.0689 0.6608 0.4224  1 Zn 2.45
Zn 0.0689 0.9081 0.6465  1 Zn 2.45
Zn 0.0776 0.7384 0.6465  1 Zn 2.45
Zn 0.0776 0.8392 0.4311  1 Zn 2.45
Zn 0.0919 0.2384 0.1608  1 Zn 2.45
Zn 0.0919 0.3535 0.9311  1 Zn 2.45
Zn 0.1465 0.2384 0.5776  1 Zn 2.45
Zn 0.1465 0.4081 0.5689  1 Zn 2.45
Zn 0.1608 0.0919 0.2384  1 Zn 2.45
Zn 0.1608 0.5689 0.9224  1 Zn 2.45
Zn 0.2384 0.1608 0.0919  1 Zn 2.45
Zn 0.2384 0.5776 0.1465  1 Zn 2.45
Zn 0.2616 0.3535 0.9224  1 Zn 2.45
Zn 0.2616 0.4081 0.3392  1 Zn 2.45
Zn 0.3392 0.2616 0.4081  1 Zn 2.45
Zn 0.3392 0.5776 0.9311  1 Zn 2.45
Zn 0.3535 0.9224 0.2616  1 Zn 2.45
Zn 0.3535 0.9311 0.0919  1 Zn 2.45
Zn 0.4081 0.3392 0.2616  1 Zn 2.45
Zn 0.4081 0.5689 0.1465  1 Zn 2.45
Zn 0.4224 0.0689 0.6608  1 Zn 2.45
Zn 0.4224 0.8535 0.7616  1 Zn 2.45
Zn 0.4311 0.0776 0.8392  1 Zn 2.45
Zn 0.4311 0.8535 0.5919  1 Zn 2.45
Zn 0.5689 0.1465 0.4081  1 Zn 2.45
Zn 0.5689 0.9224 0.1608  1 Zn 2.45
Zn 0.5776 0.1465 0.2384  1 Zn 2.45
Zn 0.5776 0.9311 0.3392  1 Zn 2.45
Zn 0.5919 0.4311 0.8535  1 Zn 2.45
Zn 0.5919 0.6608 0.7384  1 Zn 2.45
Zn 0.6465 0.0689 0.9081  1 Zn 2.45
Zn 0.6465 0.0776 0.7384  1 Zn 2.45
Zn 0.6608 0.4224 0.0689  1 Zn 2.45
Zn 0.6608 0.7384 0.5919  1 Zn 2.45
Zn 0.7384 0.5919 0.6608  1 Zn 2.45
Zn 0.7384 0.6465 0.0776  1 Zn 2.45
Zn 0.7616 0.4224 0.8535  1 Zn 2.45
Zn 0.7616 0.8392 0.9081  1 Zn 2.45
Zn 0.8392 0.4311 0.0776  1 Zn 2.45
Zn 0.8392 0.9081 0.7616  1 Zn 2.45
Zn 0.8535 0.5919 0.4311  1 Zn 2.45
Zn 0.8535 0.7616 0.4224  1 Zn 2.45
Zn 0.9081 0.6465 0.0689  1 Zn 2.45
Zn 0.9081 0.7616 0.8392  1 Zn 2.45
Zn 0.9224 0.1608 0.5689  1 Zn 2.45
Zn 0.9224 0.2616 0.3535  1 Zn 2.45
Zn 0.9311 0.0919 0.3535  1 Zn 2.45
Zn 0.9311 0.3392 0.5776  1 Zn 2.45

Values from the calculation:
* symmetry: Ia-3d, No. 230
* volume: 2205 Å³/cell
* formation energy: 0.331 eV per atom

=====

[3]
CeMg2Zn | PBE | optimized geometry

a b c (Å): 5.0389 5.0389 5.0389
angles (deg): 119.96 119.96 90.08
With the nearest neighbours (Å) after each atom.
Sites, in units of the cell vectors:
Ce 0.0000 0.0000 0.0000  4 Mg 3.09, 4 Zn 3.09
Mg 0.2500 0.7500 0.5000  4 Mg 3.09, 4 Ce 3.09
Mg 0.5000 0.5000 0.0000  4 Mg 3.09, 4 Zn 3.09
Zn 0.7500 0.2500 0.5000  4 Mg 3.09, 4 Ce 3.09

Values from the calculation:
* symmetry: I-4m2, No. 119
* volume: 91 Å³/cell
* formation energy: -0.119 eV per atom

=====

[4]
CeMg2Zn | PBE | optimized geometry

a b c (Å): 5.0172 5.0172 5.0172
angles (deg): 60.00 60.00 60.00
With the nearest neighbours (Å) after each atom.
Sites, in units of the cell vectors:
Ce 0.0000 0.0000 0.0000  8 Mg 3.07
Mg 0.2500 0.2500 0.2500  4 Ce 3.07, 4 Zn 3.07
Mg 0.7500 0.7500 0.7500  4 Ce 3.07, 4 Zn 3.07
Zn 0.5000 0.5000 0.5000  8 Mg 3.07

Values from the calculation:
* symmetry: Fm-3m, No. 225
* volume: 89 Å³/cell
* formation energy: 0.002 eV per atom

=====

[5]
CeMg14Zn | PBE | optimized geometry

a b c (Å): 10.2857 6.5417 6.5417
angles (deg): 57.82 90.00 90.00
With the nearest neighbours (Å) after each atom.
Sites, in units of the cell vectors:
Ce 0.0000 0.0000 0.0000  2 Zn 3.18, 10 Mg 3.19-3.28
Mg 0.0000 0.0104 0.4935  1 Zn 2.91, 5 Mg 3.06-3.11
Mg 0.0000 0.4935 0.0104  1 Zn 2.91, 5 Mg 3.06-3.11
Mg 0.2240 0.6385 0.6385  1 Zn 3.02, 9 Mg 3.11-3.37
Mg 0.2522 0.1466 0.6492  10 Mg 3.09-3.37, 1 Zn 3.15, 1 Ce 3.25
Mg 0.2522 0.6492 0.1466  10 Mg 3.09-3.37, 1 Zn 3.15, 1 Ce 3.25
Mg 0.2590 0.1525 0.1525  11 Mg 3.11-3.31, 1 Ce 3.19
Mg 0.5000 0.4866 0.4866  12 Mg 3.16-3.33
Mg 0.5000 0.4914 0.9783  12 Mg 3.08-3.41
Mg 0.5000 0.9783 0.4914  12 Mg 3.08-3.41
Mg 0.5000 0.9850 0.9850  12 Mg 3.13-3.29
Mg 0.7410 0.1525 0.1525  11 Mg 3.11-3.31, 1 Ce 3.19
Mg 0.7478 0.1466 0.6492  10 Mg 3.09-3.37, 1 Zn 3.15, 1 Ce 3.25
Mg 0.7478 0.6492 0.1466  10 Mg 3.09-3.37, 1 Zn 3.15, 1 Ce 3.25
Mg 0.7760 0.6385 0.6385  1 Zn 3.02, 9 Mg 3.11-3.37
Zn 0.0000 0.4680 0.4680  8 Mg 2.91-3.15, 2 Ce 3.18

Values from the calculation:
* polymorph energy (0 for the lowest one): 0.000 eV/atom
* symmetry: Amm2, No. 38
* volume: 373 Å³/cell
* formation energy: 0.022 eV per atom

=====

[6]
CeMg2Zn | PBE | optimized geometry

a b c (Å): 4.4218 4.4218 4.9348
angles (deg): 90.00 90.00 90.00
With the nearest neighbours (Å) after each atom.
Sites, in units of the cell vectors:
Ce 0.0000 0.0000 0.0000  4 Zn 3.13, 8 Mg 3.31
Mg 0.0000 0.5000 0.5000  4 Mg 3.13, 4 Ce 3.31, 4 Zn 3.31
Mg 0.5000 0.0000 0.5000  4 Mg 3.13, 4 Ce 3.31, 4 Zn 3.31
Zn 0.5000 0.5000 0.0000  4 Ce 3.13, 8 Mg 3.31

Values from the calculation:
* symmetry: P4/mmm, No. 123
* volume: 96 Å³/cell
* formation energy: 0.008 eV per atom

=====

no.,total moment (μB per cell)
1,0.2
2,26.8
3,0.8
4,1.0
5,1.1
6,1.0